Below is TmTlCo after structural relaxation, with properties calculated at the PBE level.

Geometry as POSCAR:
```
TmTlCo
1.0
3.333 -1.927 0.000
3.333 1.927 0.000
-2.184 0.000 10.926
Tm Tl Co
2 2 2
Direct
0.000 0.000 0.000
0.108 0.108 0.323
0.590 0.590 0.769
0.851 0.851 0.554
0.387 0.387 0.162
0.720 0.720 0.161
```

Calculated values
The calculation puts the total magnetization at 0.23 μB/f.u. Its raw total energy is -29.317 eV for the cell shown.

=====

Below is MgCd6Ag2 after structural relaxation, with properties calculated at the PBE level.

Geometry as POSCAR:
```
MgCd6Ag2
1.0
2.391 1.381 9.946
-2.391 1.381 9.946
0.000 -2.761 9.946
Mg Cd Ag
1 6 2
Direct
0.000 0.000 0.000
0.193 0.193 0.193
0.296 0.296 0.296
0.410 0.410 0.410
0.590 0.590 0.590
0.704 0.704 0.704
0.807 0.807 0.807
0.097 0.097 0.097
0.903 0.903 0.903
```

Calculated values
The calculation puts the total magnetization at 0.00 μB/f.u. Its raw total energy is -12.966 eV for the cell shown.